*a*
# Sr3InNiO6 GGA-PBEsol optimized geometry
data_Sr3InNiO6
_space_group_name_H-M_alt 'R -3 c'
_space_group_IT_number 167
_space_group_name_Hall '-R 3 2"c'
_cell_length_a 9.5536
_cell_length_b 9.5536
_cell_length_c 11.1052
_cell_angle_alpha 90.00
_cell_angle_beta 90.00
_cell_angle_gamma 120.00
loop_
_atom_site_label
_atom_site_type_symbol
_atom_site_fract_x
_atom_site_fract_y
_atom_site_fract_z
Sr1 Sr 0.0000 0.3707 0.2500
In1 In 0.0000 0.0000 0.2500
Ni1 Ni 0.0000 0.0000 0.0000
O1 O 0.0226 0.1744 0.3896
# Fermi-level density of states: 32.4 states/eV/cell

*b*
# Sr3InNiO6 GGA-PBEsol optimized geometry
data_Sr3InNiO6
_space_group_name_H-M_alt 'P 1 21/c 1'
_space_group_IT_number 14
_cell_length_a 9.3296
_cell_length_b 9.5701
_cell_length_c 6.5777
_cell_angle_alpha 90.00
_cell_angle_beta 93.10
_cell_angle_gamma 90.00
loop_
_space_group_symop_operation_xyz
'x,y,z'
'-x,-y,-z'
'-x,y+1/2,-z+1/2'
'x,-y+1/2,z+1/2'
loop_
_atom_site_label
_atom_site_type_symbol
_atom_site_fract_x
_atom_site_fract_y
_atom_site_fract_z
Sr1 Sr 0.0576 0.1861 0.1164
Sr2 Sr 0.2552 0.6285 0.7587
Sr3 Sr 0.4275 0.1859 0.3771
In1 In 0.2482 0.5021 0.2552
Ni1 Ni 0.0000 0.0000 0.5000
Ni2 Ni 0.5000 0.0000 0.0000
O1 O 0.0182 0.0625 0.7767
O2 O 0.1328 0.6709 0.0996
O3 O 0.1792 0.0962 0.4613
O4 O 0.3005 0.1013 0.0422
O5 O 0.3896 0.6600 0.4194
O6 O 0.4734 0.0632 0.7173
# Fermi-level density of states: 0.2 states/eV/cell

Ordering by calculated energy gives the sequence *b*, *a*, with the first entry being the most stable.

*a*
# InNiOs3 GGA-PBEsol optimized geometry
data_InNiOs3
_space_group_name_H-M_alt 'P m -3 m'
_space_group_IT_number 221
_space_group_name_Hall '-P 4 2 3'
_cell_length_a 4.4212
_cell_length_b 4.4212
_cell_length_c 4.4212
_cell_angle_alpha 90.00
_cell_angle_beta 90.00
_cell_angle_gamma 90.00
loop_
_atom_site_label
_atom_site_type_symbol
_atom_site_fract_x
_atom_site_fract_y
_atom_site_fract_z
In1 In 0.0000 0.0000 0.0000
Ni1 Ni 0.5000 0.5000 0.5000
Os1 Os 0.0000 0.5000 0.5000
# Fermi-level density of states: 6.6 states/eV/cell

*b*
# InNiOs3 GGA-PBEsol optimized geometry
data_InNiOs3
_space_group_name_H-M_alt 'P m -3 m'
_space_group_IT_number 221
_space_group_name_Hall '-P 4 2 3'
_cell_length_a 4.7343
_cell_length_b 4.7343
_cell_length_c 4.7343
_cell_angle_alpha 90.00
_cell_angle_beta 90.00
_cell_angle_gamma 90.00
loop_
_atom_site_label
_atom_site_type_symbol
_atom_site_fract_x
_atom_site_fract_y
_atom_site_fract_z
In1 In 0.0000 0.0000 0.0000
Ni1 Ni 0.5000 0.5000 0.5000
Os1 Os 0.0000 0.0000 0.5000
# Fermi-level density of states: 9.5 states/eV/cell

Ordering by calculated energy gives the sequence *a*, *b*, with the first entry being the most stable.

*a*
# In2ReNi GGA-PBEsol optimized geometry
data_In2ReNi
_space_group_name_H-M_alt 'R -3 m'
_space_group_IT_number 166
_space_group_name_Hall '-R 3 2"'
_cell_length_a 2.9498
_cell_length_b 2.9498
_cell_length_c 25.9073
_cell_angle_alpha 90.00
_cell_angle_beta 90.00
_cell_angle_gamma 120.00
loop_
_atom_site_label
_atom_site_type_symbol
_atom_site_fract_x
_atom_site_fract_y
_atom_site_fract_z
In1 In 0.0000 0.0000 0.2444
Re1 Re 0.0000 0.0000 0.0000
Ni1 Ni 0.0000 0.0000 0.5000
# Fermi-level density of states: 9.4 states/eV/cell

*b*
# In2ReNi GGA-PBEsol optimized geometry
data_In2ReNi
_space_group_name_H-M_alt 'P m m 2'
_space_group_IT_number 25
_cell_length_a 2.8632
_cell_length_b 4.0204
_cell_length_c 5.7641
_cell_angle_alpha 90.00
_cell_angle_beta 90.00
_cell_angle_gamma 90.00
loop_
_space_group_symop_operation_xyz
'x,y,z'
'-x,-y,z'
'-x,y,z'
'x,-y,z'
loop_
_atom_site_label
_atom_site_type_symbol
_atom_site_fract_x
_atom_site_fract_y
_atom_site_fract_z
In1 In 0.0000 0.0000 0.0000
In2 In 0.5000 0.5000 0.3176
Re1 Re 0.5000 0.5000 0.7815
Ni1 Ni 0.0000 0.0000 0.5403
# Fermi-level density of states: 3.9 states/eV/cell

*c*
# In2ReNi GGA-PBEsol optimized geometry
data_In2ReNi
_space_group_name_H-M_alt 'A m m 2'
_space_group_IT_number 38
_cell_length_a 4.3193
_cell_length_b 3.0097
_cell_length_c 10.3911
_cell_angle_alpha 90.00
_cell_angle_beta 90.00
_cell_angle_gamma 90.00
loop_
_space_group_symop_operation_xyz
'x,y,z'
'-x,-y,z'
'-x,y,z'
'x,-y,z'
'x,y+1/2,z+1/2'
'-x,-y+1/2,z+1/2'
'-x,y+1/2,z+1/2'
'x,-y+1/2,z+1/2'
loop_
_atom_site_label
_atom_site_type_symbol
_atom_site_fract_x
_atom_site_fract_y
_atom_site_fract_z
In1 In 0.0000 0.0000 0.0000
In2 In 0.5000 0.0000 0.3194
Re1 Re 0.0000 0.0000 0.7266
Ni1 Ni 0.5000 0.0000 0.5990
# Fermi-level density of states: 7.1 states/eV/cell

Ordering by calculated energy gives the sequence *a*, *c*, *b*, with the first entry being the most stable.

*a*
# InNi2Se GGA-PBEsol optimized geometry
data_InNi2Se
_space_group_name_H-M_alt 'P 4/m m m'
_space_group_IT_number 123
_space_group_name_Hall '-P 4 2'
_cell_length_a 4.2115
_cell_length_b 4.2115
_cell_length_c 3.2804
_cell_angle_alpha 90.00
_cell_angle_beta 90.00
_cell_angle_gamma 90.00
loop_
_atom_site_label
_atom_site_type_symbol
_atom_site_fract_x
_atom_site_fract_y
_atom_site_fract_z
In1 In 0.0000 0.0000 0.0000
Ni1 Ni 0.0000 0.5000 0.5000
Se1 Se 0.5000 0.5000 0.0000
# Fermi-level density of states: 1.9 states/eV/cell

*b*
# InNi2Se GGA-PBEsol optimized geometry
data_InNi2Se
_space_group_name_H-M_alt 'C 1 2/m 1'
_space_group_IT_number 12
_cell_length_a 7.4437
_cell_length_b 2.9736
_cell_length_c 6.2645
_cell_angle_alpha 90.00
_cell_angle_beta 111.42
_cell_angle_gamma 90.00
loop_
_space_group_symop_operation_xyz
'x,y,z'
'-x,-y,-z'
'-x,y,-z'
'x,-y,z'
'x+1/2,y+1/2,z'
'-x+1/2,-y+1/2,-z'
'-x+1/2,y+1/2,-z'
'x+1/2,-y+1/2,z'
loop_
_atom_site_label
_atom_site_type_symbol
_atom_site_fract_x
_atom_site_fract_y
_atom_site_fract_z
In1 In 0.0000 0.0000 0.0000
Ni1 Ni 0.2339 0.5000 0.3263
Se1 Se 0.0000 0.5000 0.5000
# Fermi-level density of states: 5.0 states/eV/cell

*c*
# InNi2Se GGA-PBEsol optimized geometry
data_InNi2Se
_space_group_name_H-M_alt 'P 4 m m'
_space_group_IT_number 99
_cell_length_a 3.2306
_cell_length_b 3.2306
_cell_length_c 5.9005
_cell_angle_alpha 90.00
_cell_angle_beta 90.00
_cell_angle_gamma 90.00
loop_
_space_group_symop_operation_xyz
'x,y,z'
'-y,x,z'
'-x,-y,z'
'y,-x,z'
'-x,y,z'
'y,x,z'
'x,-y,z'
'-y,-x,z'
loop_
_atom_site_label
_atom_site_type_symbol
_atom_site_fract_x
_atom_site_fract_y
_atom_site_fract_z
In1 In 0.0000 0.0000 0.0000
Ni1 Ni 0.0000 0.0000 0.4683
Ni2 Ni 0.5000 0.5000 0.2191
Se1 Se 0.5000 0.5000 0.6002
# Fermi-level density of states: 2.4 states/eV/cell

Ordering by calculated energy gives the sequence *c*, *b*, *a*, with the first entry being the most stable.

*a*
# InNi2Te GGA-PBEsol optimized geometry
data_InNi2Te
_space_group_name_H-M_alt 'P 4 m m'
_space_group_IT_number 99
_cell_length_a 3.2960
_cell_length_b 3.2960
_cell_length_c 6.4964
_cell_angle_alpha 90.00
_cell_angle_beta 90.00
_cell_angle_gamma 90.00
loop_
_space_group_symop_operation_xyz
'x,y,z'
'-y,x,z'
'-x,-y,z'
'y,-x,z'
'-x,y,z'
'y,x,z'
'x,-y,z'
'-y,-x,z'
loop_
_atom_site_label
_atom_site_type_symbol
_atom_site_fract_x
_atom_site_fract_y
_atom_site_fract_z
In1 In 0.0000 0.0000 0.0000
Ni1 Ni 0.0000 0.0000 0.4034
Ni2 Ni 0.5000 0.5000 0.1896
Te1 Te 0.5000 0.5000 0.5695
# Fermi-level density of states: 1.8 states/eV/cell

*b*
# InNi2Te GGA-PBEsol optimized geometry
data_InNi2Te
_space_group_name_H-M_alt 'C 1 2/m 1'
_space_group_IT_number 12
_cell_length_a 7.3826
_cell_length_b 3.3251
_cell_length_c 5.7460
_cell_angle_alpha 90.00
_cell_angle_beta 104.56
_cell_angle_gamma 90.00
loop_
_space_group_symop_operation_xyz
'x,y,z'
'-x,-y,-z'
'-x,y,-z'
'x,-y,z'
'x+1/2,y+1/2,z'
'-x+1/2,-y+1/2,-z'
'-x+1/2,y+1/2,-z'
'x+1/2,-y+1/2,z'
loop_
_atom_site_label
_atom_site_type_symbol
_atom_site_fract_x
_atom_site_fract_y
_atom_site_fract_z
In1 In 0.0000 0.0000 0.0000
Ni1 Ni 0.2485 0.0000 0.7425
Te1 Te 0.0000 0.5000 0.5000
# Fermi-level density of states: 5.5 states/eV/cell

Ordering by calculated energy gives the sequence *a*, *b*, with the first entry being the most stable.

*a*
# In3NiTe GGA-PBEsol optimized geometry
data_In3NiTe
_space_group_name_H-M_alt 'P m -3 m'
_space_group_IT_number 221
_space_group_name_Hall '-P 4 2 3'
_cell_length_a 5.6152
_cell_length_b 5.6152
_cell_length_c 5.6152
_cell_angle_alpha 90.00
_cell_angle_beta 90.00
_cell_angle_gamma 90.00
loop_
_atom_site_label
_atom_site_type_symbol
_atom_site_fract_x
_atom_site_fract_y
_atom_site_fract_z
In1 In 0.0000 0.0000 0.5000
Ni1 Ni 0.5000 0.5000 0.5000
Te1 Te 0.0000 0.0000 0.0000
# Fermi-level density of states: 10.1 states/eV/cell

*b*
# In3NiTe GGA-PBEsol optimized geometry
data_In3NiTe
_space_group_name_H-M_alt 'P m -3 m'
_space_group_IT_number 221
_space_group_name_Hall '-P 4 2 3'
_cell_length_a 4.9697
_cell_length_b 4.9697
_cell_length_c 4.9697
_cell_angle_alpha 90.00
_cell_angle_beta 90.00
_cell_angle_gamma 90.00
loop_
_atom_site_label
_atom_site_type_symbol
_atom_site_fract_x
_atom_site_fract_y
_atom_site_fract_z
In1 In 0.0000 0.0000 0.5000
Ni1 Ni 0.0000 0.0000 0.0000
Te1 Te 0.5000 0.5000 0.5000
# Fermi-level density of states: 2.9 states/eV/cell

Ordering by calculated energy gives the sequence *b*, *a*, with the first entry being the most stable.